K4In3BiO8 PBE-GGA relaxed; raw total energy = -5.01 eV/atom; symmetry = No. 166; formation energy from raw total energies = -1496 meV/atom
1.0
3.4362 1.9839 6.2019
-3.4362 1.9839 6.2019
0.0000 -3.9678 6.2019
K In Bi O
4 3 1 8
Cartesian
0.0000 0.0000 0.0000 K
-1.7181 -0.9920 6.2019 K
-1.7181 0.9920 12.4038 K
0.0000 1.9839 6.2019 K
-3.4362 0.0000 9.3029 In
-1.7181 0.9920 3.1010 In
1.7181 0.9920 3.1010 In
0.0000 0.0000 9.3029 Bi
-1.7980 -1.0381 10.4830 O
0.0000 0.0000 4.2575 O
0.0000 -2.0762 8.1227 O
-1.7980 1.0381 8.1227 O
1.7980 -1.0381 10.4830 O
0.0000 2.0762 10.4830 O
0.0000 0.0000 14.3483 O
1.7980 1.0381 8.1227 O